Record 1
# Ta2WC

Ta2WC after structural relaxation (PBE, Alexandria).

abc: 3.047 3.226 6.399
angles: 77.50 90.00 90.00
Fractional positions:
C  0.500  0.750  0.750
W  0.500  0.250  0.250
Ta  0.000  0.867  0.970
Ta  0.000  0.633  0.530

- energy of formation from the pure elements (meV/atom) = 217
- E_tot (eV/atom) = -11.254
- SG = P2/m, No. 10

Record 2
# Ta2WC

Ta2WC after structural relaxation (PBE, Alexandria).

abc: 7.355 7.355 7.355
angles: 24.15 24.15 24.15
Fractional positions:
C  0.250  0.250  0.250
W  0.750  0.750  0.750
Ta  0.977  0.977  0.977
Ta  0.523  0.523  0.523

- energy of formation from the pure elements (meV/atom) = -247
- E_tot (eV/atom) = -11.718
- SG = R-3m, No. 166

Record 3
# TaW2C

TaW2C after structural relaxation (PBE, Alexandria).

abc: 2.834 2.834 7.674
angles: 90.00 90.00 113.34
Fractional positions:
C  0.500  0.500  0.250
W  0.000  0.000  0.056
W  0.000  0.000  0.444
Ta  0.500  0.500  0.750

- energy of formation from the pure elements (meV/atom) = 339
- E_tot (eV/atom) = -11.407
- SG = Cmmm, No. 65

Record 4
# Ta2WC

Ta2WC after structural relaxation (PBE, Alexandria).

abc: 2.769 2.769 7.463
angles: 90.00 90.00 90.00
Fractional positions:
C  0.500  0.500  0.750
W  0.500  0.500  0.250
Ta  0.000  0.000  0.932
Ta  0.000  0.000  0.568

- energy of formation from the pure elements (meV/atom) = 302
- E_tot (eV/atom) = -11.169
- SG = P4/mmm, No. 123

Record 5
# TaW2C

TaW2C after structural relaxation (PBE, Alexandria).

abc: 4.368 4.368 4.368
angles: 60.00 60.00 60.00
Fractional positions:
C  0.500  0.500  0.500
W  0.000  0.000  0.000
W  0.250  0.250  0.250
Ta  0.750  0.750  0.750

- energy of formation from the pure elements (meV/atom) = 1314
- E_tot (eV/atom) = -10.431
- SG = F-43m, No. 216

Record 6
# Ta2WC2

Ta2WC2 after structural relaxation (PBE, Alexandria).

abc: 6.749 6.749 2.823
angles: 90.00 90.00 90.00
Fractional positions:
C  0.151  0.651  0.500
C  0.651  0.849  0.500
C  0.849  0.349  0.500
C  0.349  0.151  0.500
W  0.000  0.000  0.000
W  0.500  0.500  0.000
Ta  0.355  0.855  0.000
Ta  0.855  0.645  0.000
Ta  0.645  0.145  0.000
Ta  0.145  0.355  0.000

- energy of formation from the pure elements (meV/atom) = 1121
- E_tot (eV/atom) = -9.900
- polymorph energy (0 for the lowest one) (meV/atom) = 432
- SG = P4/mbm, No. 127

Number 1: DOS(E_F) 0.898 states/eV/atom, theoretical density 15.1 g/cm3, volume 61.41 Å³ per cell. Number 2: DOS(E_F) 0.737 states/eV/atom, theoretical density 15.8 g/cm3, volume 58.56 Å³ per cell. Number 3: DOS(E_F) 0.570 states/eV/atom, theoretical density 16.4 g/cm3, volume 56.60 Å³ per cell. Number 4: DOS(E_F) 0.462 states/eV/atom, theoretical density 16.2 g/cm3, volume 57.23 Å³ per cell. Number 5: DOS(E_F) 0.981 states/eV/atom, theoretical density 15.8 g/cm3, volume 58.93 Å³ per cell. Number 6: DOS(E_F) 0.387 states/eV/atom, theoretical density 14.7 g/cm3, volume 128.62 Å³ per cell.